[1]
This record from Alexandria describes a relaxed AgHgRu crystal. The functional is GGA-PBE.

Values from the calculation:
SG = No. 216
Total magnetic moment = 1.19 μB/cell
Formation energy from the elements = 84.9 kJ per mole of atoms
Total energy = -9.79 eV per formula unit
Energy above the lowest structure with this stoichiometry = 375 meV/atom

Cell lengths 4.481, 4.481, 4.481 Å; angles 60.00, 60.00, 60.00 degrees
Sites, in units of the cell vectors:
Ag (0.000, 0.000, 0.000)
Hg (0.500, 0.500, 0.500)
Ru (0.250, 0.250, 0.250)

=====

[2]
This record from Alexandria describes a relaxed Pm7DyY3 crystal. The functional is GGA-PBE.

Values from the calculation:
SG = No. 156
Total magnetic moment = 0.00 μB/cell
Formation energy from the elements = 17.5 kJ per mole of atoms
Total energy = -55.25 eV per formula unit

Cell lengths 8.722, 7.182, 7.182 Å; angles 120.00, 90.00, 90.00 degrees
Sites, in units of the cell vectors:
Pm (0.113, 0.167, 0.833)
Pm (0.113, 0.167, 0.335)
Pm (0.125, 0.667, 0.333)
Pm (0.454, 0.833, 0.167)
Pm (0.454, 0.335, 0.167)
Pm (0.454, 0.833, 0.665)
Pm (0.113, 0.665, 0.833)
Dy (0.443, 0.333, 0.667)
Y (0.782, 0.500, 0.500)
Y (0.782, 0.500, 0.999)
Y (0.782, 0.001, 0.500)

=====

Look up the formation energy from the elements of the first one.
84.9 kJ per mole of atoms